No. 1
Computed, not measured: a relaxed structure of Sm4ZnBr5 at the PBE-GGA level of DFT.

```
data_Sm4ZnBr5
_chemical_formula_sum 'Sm8 Zn2 Br10'
_space_group_name_H-M_alt 'C 1 2/m 1'
_space_group_IT_number 12
_cell_length_a 18.5582
_cell_length_b 4.0150
_cell_length_c 8.7775
_cell_angle_alpha 90.00
_cell_angle_beta 102.67
_cell_angle_gamma 90.00
loop_
_space_group_symop_operation_xyz
'x,y,z'
'-x,-y,-z'
'-x,y,-z'
'x,-y,z'
'x+1/2,y+1/2,z'
'-x+1/2,-y+1/2,-z'
'-x+1/2,y+1/2,-z'
'x+1/2,-y+1/2,z'
loop_
_atom_site_label
_atom_site_fract_x
_atom_site_fract_y
_atom_site_fract_z
Sm1 0.0004 0.0000 0.2328
Sm2 0.1547 0.5000 0.0802
Zn1 0.0000 0.5000 0.0000
Br1 0.0000 0.5000 0.5000
Br2 0.1667 0.0000 0.3323
Br3 0.1725 0.0000 0.8340
```

**Formation energy without anion corrections**: -1.3245 eV/atom
**Volume**: 31.90 Å³ per atom
**Total magnetization**: 0.000 μB per formula unit



No. 2
Computed, not measured: a relaxed structure of SmEu2Rh at the PBE-GGA level of DFT.

```
data_SmEu2Rh
_chemical_formula_sum 'Sm3 Eu6 Rh3'
_space_group_name_H-M_alt 'R -3 m'
_space_group_IT_number 166
_space_group_name_Hall '-R 3 2"'
_cell_length_a 3.6712
_cell_length_b 3.6712
_cell_length_c 32.2337
_cell_angle_alpha 90.00
_cell_angle_beta 90.00
_cell_angle_gamma 120.00
loop_
_atom_site_label
_atom_site_fract_x
_atom_site_fract_y
_atom_site_fract_z
Sm1 0.0000 0.0000 0.0000
Eu1 0.0000 0.0000 0.1071
Rh1 0.0000 0.0000 0.5000
```

**Volume**: 31.35 Å³ per atom
**Total magnetization**: 14.488 μB per formula unit
**Calculated formation energy**: 0.034 eV per atom



No. 3
Computed, not measured: a relaxed structure of NbSbAu at the PBE-GGA level of DFT.

```
data_NbSbAu
_chemical_formula_sum 'Nb1 Sb1 Au1'
_space_group_name_H-M_alt 'P 3 m 1'
_space_group_IT_number 156
_cell_length_a 4.5447
_cell_length_b 4.5447
_cell_length_c 3.5730
_cell_angle_alpha 90.00
_cell_angle_beta 90.00
_cell_angle_gamma 120.00
loop_
_space_group_symop_operation_xyz
'x,y,z'
'-y,x-y,z'
'-x+y,-x,z'
'-y,-x,z'
'-x+y,y,z'
'x,x-y,z'
loop_
_atom_site_label
_atom_site_fract_x
_atom_site_fract_y
_atom_site_fract_z
Nb1 0.0000 0.0000 0.0000
Sb1 0.6667 0.3333 0.5255
Au1 0.3333 0.6667 0.1403
```

**Formation energy without anion corrections**: 0.2153 eV/atom
**Volume**: 21.30 Å³ per atom
**Total magnetization**: 0.000 μB per formula unit



No. 4
Computed, not measured: a relaxed structure of Y2P3Pd5 at the PBE-GGA level of DFT.

```
data_Y2P3Pd5
_chemical_formula_sum 'Y8 P12 Pd20'
_space_group_name_H-M_alt 'C m c 21'
_space_group_IT_number 36
_cell_length_a 4.1677
_cell_length_b 23.5628
_cell_length_c 6.9317
_cell_angle_alpha 90.00
_cell_angle_beta 90.00
_cell_angle_gamma 90.00
loop_
_space_group_symop_operation_xyz
'x,y,z'
'-x,-y,z+1/2'
'-x,y,z'
'x,-y,z+1/2'
'x+1/2,y+1/2,z'
'-x+1/2,-y+1/2,z+1/2'
'-x+1/2,y+1/2,z'
'x+1/2,-y+1/2,z+1/2'
loop_
_atom_site_label
_atom_site_fract_x
_atom_site_fract_y
_atom_site_fract_z
Y1 0.0000 0.0241 0.0000
Y2 0.0000 0.3256 0.9632
P1 0.0000 0.1087 0.2961
P2 0.0000 0.2706 0.4144
P3 0.0000 0.4548 0.2120
Pd1 0.0000 0.0986 0.6512
Pd2 0.0000 0.1973 0.1173
Pd3 0.0000 0.2237 0.7218
Pd4 0.0000 0.3710 0.4247
Pd5 0.0000 0.4449 0.8049
```

**Volume**: 17.02 Å³ per atom
**Total magnetization**: 0.000 μB per formula unit
**Calculated formation energy**: -0.904 eV per atom



The lowest volume belongs to which entry? Y2P3Pd5



Among the records above, which one has the highest total magnetization? SmEu2Rh



Please write out number 3 again, unchanged.
Computed, not measured: a relaxed structure of NbSbAu at the PBE-GGA level of DFT.

```
data_NbSbAu
_chemical_formula_sum 'Nb1 Sb1 Au1'
_space_group_name_H-M_alt 'P 3 m 1'
_space_group_IT_number 156
_cell_length_a 4.5447
_cell_length_b 4.5447
_cell_length_c 3.5730
_cell_angle_alpha 90.00
_cell_angle_beta 90.00
_cell_angle_gamma 120.00
loop_
_space_group_symop_operation_xyz
'x,y,z'
'-y,x-y,z'
'-x+y,-x,z'
'-y,-x,z'
'-x+y,y,z'
'x,x-y,z'
loop_
_atom_site_label
_atom_site_fract_x
_atom_site_fract_y
_atom_site_fract_z
Nb1 0.0000 0.0000 0.0000
Sb1 0.6667 0.3333 0.5255
Au1 0.3333 0.6667 0.1403
```

**Formation energy without anion corrections**: 0.2153 eV/atom
**Volume**: 21.30 Å³ per atom
**Total magnetization**: 0.000 μB per formula unit



What is the total magnetization in the third record? 0.000 μB per formula unit